Here is a relaxed YRe3Pb crystal from the Alexandria database. Energies are from PBEsol.

Computed properties:
symmetry = Pm-3m
E = -7.200 eV/atom
DOS at the Fermi energy = 4.347 states/eV/cell

Cell lengths 4.823, 4.823, 4.823 Å; angles 90.00, 90.00, 90.00 degrees
Positions (direct):
1 Y 0.000 0.000 0.000
2 Re 0.000 0.000 0.500
3 Re 0.000 0.500 0.000
4 Re 0.500 0.000 0.000
5 Pb 0.500 0.500 0.500

Here is a relaxed ZnRe2Pb crystal from the Alexandria database. Energies are from PBEsol.

Computed properties:
symmetry = Cmmm
E = -6.987 eV/atom
DOS at the Fermi energy = 4.071 states/eV/cell
distance to the lowest polymorph of the same formula = 0.3556 eV/atom

Cell lengths 4.971, 4.971, 2.957 Å; angles 90.00, 90.00, 114.91 degrees
Positions (direct):
1 Zn 0.000 0.000 0.000
2 Re 0.000 0.500 0.500
3 Re 0.500 0.000 0.500
4 Pb 0.500 0.500 0.000

Here is a relaxed ZnRe2Pb crystal from the Alexandria database. Energies are from PBEsol.

Computed properties:
symmetry = Cm
E = -7.343 eV/atom
DOS at the Fermi energy = 2.791 states/eV/cell
distance to the lowest polymorph of the same formula = 0.0000 eV/atom

Cell lengths 4.408, 4.408, 5.730 Å; angles 98.37, 98.37, 41.89 degrees
Positions (direct):
1 Zn 0.000 0.000 0.000
2 Re 0.468 0.468 0.373
3 Re 0.745 0.745 0.218
4 Pb 0.232 0.232 0.703

Here is a relaxed ZnRePb2 crystal from the Alexandria database. Energies are from PBEsol.

Computed properties:
symmetry = I-4m2
E = -4.787 eV/atom
DOS at the Fermi energy = 3.870 states/eV/cell

Cell lengths 5.435, 5.435, 5.435 Å; angles 134.77, 134.77, 65.89 degrees
Positions (direct):
1 Zn 0.000 0.000 0.000
2 Re 0.250 0.750 0.500
3 Pb 0.500 0.500 0.000
4 Pb 0.750 0.250 0.500

Here is a relaxed ZrRePb2 crystal from the Alexandria database. Energies are from PBEsol.

Computed properties:
symmetry = R-3m
E = -7.012 eV/atom
DOS at the Fermi energy = 4.230 states/eV/cell
distance to the lowest polymorph of the same formula = 0.0000 eV/atom

Cell lengths 9.325, 9.325, 9.325 Å; angles 20.12, 20.12, 20.12 degrees
Positions (direct):
1 Zr 0.000 0.000 0.000
2 Re 0.500 0.500 0.500
3 Pb 0.243 0.243 0.243
4 Pb 0.757 0.757 0.757

Here is a relaxed Zr3RePb crystal from the Alexandria database. Energies are from PBEsol.

Computed properties:
symmetry = Pm-3m
E = -6.957 eV/atom
DOS at the Fermi energy = 7.139 states/eV/cell

Cell lengths 5.170, 5.170, 5.170 Å; angles 90.00, 90.00, 90.00 degrees
Positions (direct):
1 Zr 0.000 0.000 0.500
2 Zr 0.000 0.500 0.000
3 Zr 0.500 0.000 0.000
4 Re 0.500 0.500 0.500
5 Pb 0.000 0.000 0.000

Looking at energy relative to the elements for the records above, in order, we have 2.9638; 1.0741; 0.7185; 0.9411; 0.5930; 1.9627 eV per atom.